(1)
DFT (GGA-PBE) results for a geometry-optimized KRe2Ir structure.

Computed properties:
The spin magnetization comes out at 0.00 μB per atom. The total energy comes out at -8.112 eV/atom. Its energy above the most stable polymorph in this dataset is 0.000 eV/atom. The energy relative to the elements comes out at 13.88 kcal/mol of atoms.

Cell: 2.8107 2.8107 30.8436 Å, 90.00 90.00 120.00°
Space group R3m (No. 160, hexagonal axes)
Unique sites:
K (0.0000, 0.0000, 0.0000)
Re (0.0000, 0.0000, 0.5027)
Re (0.0000, 0.0000, 0.7668)
Ir (0.0000, 0.0000, 0.2401)



(2)
DFT (GGA-PBE) results for a geometry-optimized KRe2Ir structure.

Computed properties:
The spin magnetization comes out at 0.00 μB per atom. The total energy comes out at -7.800 eV/atom. Its energy above the most stable polymorph in this dataset is 0.311 eV/atom. The energy relative to the elements comes out at 21.06 kcal/mol of atoms.

Cell: 2.6787 5.0394 10.8726 Å, 90.00 90.00 90.00°
Space group Immm (No. 71)
Unique sites:
K (0.0000, 0.0000, 0.0000)
Re (0.0000, 0.5000, 0.2083)
Ir (0.0000, 0.0000, 0.5000)



(3)
DFT (GGA-PBE) results for a geometry-optimized KRe2Ir structure.

Computed properties:
The spin magnetization comes out at 0.00 μB per atom. The total energy comes out at -7.584 eV/atom. Its energy above the most stable polymorph in this dataset is 0.528 eV/atom. The energy relative to the elements comes out at 26.05 kcal/mol of atoms.

Cell: 2.7036 5.2539 10.4292 Å, 90.00 90.00 90.00°
Space group Imm2 (No. 44)
Unique sites:
K (0.0000, 0.0000, 0.0000)
Re (0.0000, 0.0000, 0.5031)
Re (0.0000, 0.5000, 0.7899)
Ir (0.0000, 0.5000, 0.2152)



(4)
DFT (GGA-PBE) results for a geometry-optimized KRe2Ir structure.

Computed properties:
The spin magnetization comes out at 0.00 μB per atom. The total energy comes out at -7.982 eV/atom. Its energy above the most stable polymorph in this dataset is 0.130 eV/atom. The energy relative to the elements comes out at 16.87 kcal/mol of atoms.

Cell: 2.8919 4.6762 10.3516 Å, 90.00 90.00 90.00°
Space group Cmm2 (No. 35)
Unique sites:
K (0.0000, 0.0000, 0.0000)
Re (0.0000, 0.0000, 0.5053)
Re (0.0000, 0.5000, 0.2927)
Ir (0.0000, 0.5000, 0.7253)



(5)
DFT (GGA-PBE) results for a geometry-optimized KRe2Ir structure.

Computed properties:
The spin magnetization comes out at 0.00 μB per atom. The total energy comes out at -7.613 eV/atom. Its energy above the most stable polymorph in this dataset is 0.499 eV/atom. The energy relative to the elements comes out at 25.39 kcal/mol of atoms.

Cell: 3.2608 3.2608 8.1688 Å, 90.00 90.00 90.00°
Space group P4/mmm (No. 123)
Unique sites:
K (0.0000, 0.0000, 0.0000)
Re (0.5000, 0.5000, 0.3475)
Ir (0.0000, 0.0000, 0.5000)



(6)
DFT (GGA-PBE) results for a geometry-optimized KReIr2 structure.

Computed properties:
The spin magnetization comes out at 0.00 μB per atom. The total energy comes out at -6.536 eV/atom. Its energy above the most stable polymorph in this dataset is 0.936 eV/atom. The energy relative to the elements comes out at 29.54 kcal/mol of atoms.

Cell: 6.4670 6.4670 6.4670 Å, 90.00 90.00 90.00°
Space group Fm-3m (No. 225)
Unique sites:
K (0.0000, 0.0000, 0.0000)
Re (0.0000, 0.0000, 0.5000)
Ir (0.2500, 0.2500, 0.2500)



Which value of energy above the most stable polymorph in this dataset does entry 5 give? 0.499 eV/atom



What is the energy relative to the elements in the second record? 21.06 kcal/mol of atoms



What is the energy relative to the elements in the fifth record? 25.39 kcal/mol of atoms



Which formula does entry 4 have? KRe2Ir